No. 1
Entry from Alexandria: crystalline Tl2CdN2 at its relaxed geometry (PBE-GGA).

## Properties
Formation energy from raw total energies (eV per atom): 0.085
Size of the total moment (μB per formula unit): 0.00
Calculated total energy (eV per atom): -4.3747

Cell and atoms, written as extended XYZ:
```
10
Lattice="3.3141 0.0000 0.0000 0.0000 6.0400 0.0000 -0.0613 0.0000 14.8336" Properties=species:S:1:pos:R:3 pbc="T T T"
Tl 0.0015 0.0000 2.8263
Tl 1.5943 3.0200 12.0073
Tl 1.6586 3.0200 2.8263
Tl 3.2514 0.0000 12.0073
Cd 0.0000 3.0200 0.0000
Cd 1.6571 0.0000 0.0000
N 0.0560 3.0200 6.8667
N 1.5398 0.0000 7.9669
N 1.7131 0.0000 6.8667
N 3.1969 3.0200 7.9669
```



No. 2
Entry from Alexandria: crystalline GaNiPS2 at its relaxed geometry (PBE-GGA).

## Properties
Formation energy from raw total energies (eV per atom): 0.999
Size of the total moment (μB per formula unit): 0.00
Relative energy among the computed polymorphs (kJ/mol of atoms): 59.4
Calculated total energy (eV per atom): -3.4953

Cell and atoms, written as extended XYZ:
```
5
Lattice="4.6442 0.0000 0.0000 0.0000 4.6442 0.0000 0.0000 0.0000 4.4800" Properties=species:S:1:pos:R:3 pbc="T T T"
Ga 0.0000 0.0000 0.0000
Ni 0.0000 0.0000 2.2400
P 2.3221 2.3221 2.2400
S 0.0000 2.3221 0.0000
S 2.3221 0.0000 0.0000
```



No. 3
Entry from Alexandria: crystalline SiAsRh2 at its relaxed geometry (PBE-GGA).

## Properties
Formation energy from raw total energies (eV per atom): -0.292
Size of the total moment (μB per formula unit): 0.00
Calculated total energy (eV per atom): -6.4858

Cell and atoms, written as extended XYZ:
```
4
Lattice="4.4070 0.0000 0.0000 0.0000 4.4070 0.0000 0.0000 0.0000 2.9451" Properties=species:S:1:pos:R:3 pbc="T T T"
Si 0.0000 0.0000 0.0000
As 2.2035 2.2035 0.0000
Rh 0.0000 2.2035 1.4725
Rh 2.2035 0.0000 1.4725
```



No. 4
Entry from Alexandria: crystalline Tb5Tm2Ru5 at its relaxed geometry (PBE-GGA).

## Properties
Size of the total moment (μB per formula unit): 0.00
Calculated total energy (eV per atom): -6.7619

Cell and atoms, written as extended XYZ:
```
12
Lattice="4.1904 -2.4175 0.0000 4.1904 2.4175 0.0000 -2.7776 0.0000 13.1181" Properties=species:S:1:pos:R:3 pbc="T T T"
Tb 0.0000 0.0000 0.0000
Tb 0.0095 0.0000 7.5077
Tb 0.0117 0.0000 11.1740
Tb 5.5916 0.0000 1.9441
Tb 5.5938 0.0000 5.6104
Tm 2.8001 0.0000 3.7275
Tm 2.8031 0.0000 9.3906
Ru 0.0055 0.0000 4.4934
Ru 2.7944 0.0000 0.8641
Ru 2.8016 0.0000 6.5591
Ru 2.8089 0.0000 12.2540
Ru 5.5977 0.0000 8.6247
```



No. 5
Entry from Alexandria: crystalline Pr3Zn2Si4 at its relaxed geometry (PBE-GGA).

## Properties
Formation energy from raw total energies (eV per atom): -0.683
Size of the total moment (μB per formula unit): 0.00
Relative energy among the computed polymorphs (kJ/mol of atoms): 0.0
Calculated total energy (eV per atom): -4.9692

Cell and atoms, written as extended XYZ:
```
9
Lattice="5.5838 -2.0785 0.0000 5.5838 2.0785 0.0000 -1.2720 0.0000 8.2286" Properties=species:S:1:pos:R:3 pbc="T T T"
Pr 0.0000 0.0000 0.0000
Pr 3.3200 0.0000 2.7141
Pr 6.5756 0.0000 5.5145
Zn 3.4346 0.0000 5.9328
Zn 6.4610 0.0000 2.2958
Si 0.1557 0.0000 3.2293
Si 1.9247 0.0000 7.7873
Si 7.9709 0.0000 0.4414
Si 9.7399 0.0000 4.9993
```



No. 6
Entry from Alexandria: crystalline Sm5TmHg6 at its relaxed geometry (PBE-GGA).

## Properties
Size of the total moment (μB per formula unit): 1.90
Calculated total energy (eV per atom): -2.9599

Cell and atoms, written as extended XYZ:
```
12
Lattice="2.6577 -7.9998 0.0000 2.6577 7.9998 0.0000 0.0000 0.0000 7.5949" Properties=species:S:1:pos:R:3 pbc="T T T"
Sm 0.0000 0.0000 0.0000
Sm 2.6577 2.7026 0.0000
Sm 2.6577 2.6588 3.7975
Sm 2.6577 -2.6588 3.7975
Sm 2.6577 -2.7026 0.0000
Tm 0.0000 0.0000 3.7975
Hg 2.6577 5.3951 1.9385
Hg 2.6577 5.3951 5.6564
Hg 2.6577 0.0000 1.9576
Hg 2.6577 0.0000 5.6373
Hg 2.6577 -5.3951 1.9385
Hg 2.6577 -5.3951 5.6564
```



No. 7
Entry from Alexandria: crystalline La4PmSmEr2 at its relaxed geometry (PBE-GGA).

## Properties
Size of the total moment (μB per formula unit): 0.00
Calculated total energy (eV per atom): -4.7708

Cell and atoms, written as extended XYZ:
```
8
Lattice="5.2127 0.0000 0.0000 0.0000 5.2493 0.0000 -0.0077 0.0000 10.1113" Properties=species:S:1:pos:R:3 pbc="T T T"
La 5.2106 0.0000 2.5199
La -0.0056 0.0000 7.5913
La 2.5972 2.6246 7.5858
La 2.6078 2.6246 2.5254
Pm 2.6025 0.0000 5.0556
Sm 0.0000 2.6246 0.0000
Er -0.0038 2.6246 5.0556
Er 2.6063 0.0000 0.0000
```



No. 8
Entry from Alexandria: crystalline Ba3Na4Sn4 at its relaxed geometry (PBE-GGA).

## Properties
Size of the total moment (μB per formula unit): 0.00
Calculated total energy (eV per atom): -2.8227

Cell and atoms, written as extended XYZ:
```
11
Lattice="4.0358 0.0000 0.0000 0.0006 5.5033 0.0000 2.0089 2.7497 17.1770" Properties=species:S:1:pos:R:3 pbc="T T T"
Ba 0.0000 0.0000 0.0000
Ba 2.0099 5.4998 12.2364
Ba 4.0354 2.7532 4.9406
Na 2.0120 2.7511 8.3245
Na 2.0235 5.5039 3.1723
Na 4.0218 2.7491 14.0047
Na 4.0333 5.5019 8.8525
Sn 2.0176 5.5060 6.2782
Sn 2.0205 2.7521 1.5209
Sn 4.0247 5.5009 15.6562
Sn 4.0277 2.7470 10.8988
```



Question: size of the total moment of number 7 (La4PmSmEr2)?
Answer: 0.00 μB per formula unit